Entry 1:
U2P2O9 | Alexandria | PBE | optimized geometry; symmetry = Cmce (64); formation energy without anion corrections = -2742 meV per atom; total energy = -8.7433 eV per atom; magnetic moment = 8.0 μB per cell
1.0
-0.824 5.707 -0.190
-4.733 -1.974 2.642
5.807 1.215 11.312
O P U
18 4 4
Direct
0.514 0.146 0.413
0.146 0.514 0.587
0.354 0.986 0.087
0.640 0.360 0.239
0.986 0.354 0.913
0.860 0.140 0.739
0.486 0.854 0.587
0.646 0.014 0.913
0.014 0.646 0.087
0.140 0.860 0.261
0.942 0.058 0.124
0.000 0.000 0.500
0.442 0.558 0.376
0.058 0.942 0.876
0.500 0.500 0.000
0.360 0.640 0.761
0.558 0.442 0.624
0.854 0.486 0.413
0.391 0.609 0.644
0.891 0.109 0.856
0.609 0.391 0.356
0.109 0.891 0.144
0.708 0.292 0.069
0.792 0.208 0.569
0.292 0.708 0.931
0.208 0.792 0.431



Entry 2:
NbCo3Ni | Alexandria | PBE | optimized geometry; symmetry = P6_3/mmc (194); energy relative to the elements = 8.3 kcal/mol of atoms; total energy = -7.0747 eV per atom; magnetic moment = 6.1 μB per cell
1.0
4.574 0.000 0.000
0.000 5.746 -0.001
0.000 -2.872 4.976
Co Nb Ni
6 2 2
Direct
0.750 0.599 0.799
0.250 0.401 0.201
0.250 0.799 0.599
0.750 0.201 0.401
0.750 0.201 0.799
0.250 0.799 0.201
0.250 0.334 0.666
0.750 0.666 0.334
0.500 0.000 0.000
0.000 0.000 0.000



Entry 3:
MgScBr2 | Alexandria | PBE | optimized geometry; symmetry = R-3m (166); formation energy without anion corrections = -936 meV per atom; total energy = -3.7543 eV per atom; magnetic moment = 0.0 μB per cell
1.0
2.065 0.000 10.222
-1.033 1.789 10.222
-1.033 -1.789 10.222
Br Mg Sc
2 1 1
Direct
0.109 0.109 0.109
0.891 0.891 0.891
0.000 0.000 0.000
0.500 0.500 0.500



Entry 4:
Ca2BeBi | Alexandria | PBE | optimized geometry; symmetry = Fm-3m (225); energy relative to the elements = -2.6 kcal/mol of atoms; total energy = -3.0162 eV per atom; magnetic moment = 0.0 μB per cell
1.0
-2.861 -1.943 4.085
-4.917 -1.932 -0.856
-0.909 -5.261 0.367
Ca Bi Be
2 1 1
Direct
0.750 0.750 0.750
0.250 0.250 0.250
0.500 0.500 0.500
0.000 0.000 0.000



Entry 5:
ReIr2Pt | Alexandria | PBE | optimized geometry; symmetry = R-3m (166); energy relative to the elements = -2.5 kcal/mol of atoms; total energy = -9.1616 eV per atom; magnetic moment = 0.0 μB per cell
1.0
-4.204 -4.688 6.702
-4.698 -6.421 4.612
-2.317 -6.575 5.998
Ir Re Pt
2 1 1
Direct
0.004 0.004 0.004
0.496 0.496 0.496
0.750 0.750 0.750
0.250 0.250 0.250



Entry 6:
TmPaMnN4 | Alexandria | PBE | optimized geometry; symmetry = I4mm (107); formation energy without anion corrections = -1128 meV per atom; total energy = -9.1909 eV per atom; magnetic moment = 0.5 μB per cell
1.0
3.672 0.000 0.000
0.000 3.672 0.000
-1.836 -1.836 6.000
Mn N Pa Tm
1 4 1 1
Direct
0.000 0.000 0.000
0.179 0.179 0.358
0.997 0.497 0.994
0.497 0.997 0.994
0.827 0.827 0.654
0.358 0.358 0.716
0.642 0.642 0.285



Entry 7:
Tm3Cd2Hg2 | Alexandria | PBE | optimized geometry; symmetry = P-1 (2); energy relative to the elements = -6.1 kcal/mol of atoms; total energy = -2.5305 eV per atom; magnetic moment = 0.0 μB per cell
1.0
5.055 -0.030 -1.358
-2.554 4.403 0.596
-0.469 1.003 7.989
Tm Cd Hg
3 2 2
Direct
0.439 0.603 0.281
0.561 0.397 0.719
0.000 0.000 0.000
0.280 0.692 0.864
0.720 0.308 0.136
0.854 0.117 0.588
0.146 0.883 0.412



Entry 8:
AsPdSe2Br | Alexandria | PBE | optimized geometry; symmetry = P4/mmm (123); formation energy without anion corrections = 496 meV per atom; total energy = -3.2010 eV per atom; magnetic moment = 0.0 μB per cell
1.0
-0.948 -0.509 -4.834
-3.465 -3.384 1.036
-3.428 3.600 0.293
Se As Pd Br
2 1 1 1
Direct
0.500 0.000 0.000
0.000 0.500 0.000
0.500 0.500 0.500
0.000 0.000 0.000
0.000 0.000 0.500